DFT (GGA-PBE) results for crystalline CaAlVNi at its relaxed geometry.

abc: 2.874 2.874 8.062
angles: 90.00 90.00 90.00
Positions (direct):
Ca 0.000 0.000 0.000
Al 0.000 0.000 0.438
V 0.500 0.500 0.662
Ni 0.500 0.500 0.267

## Properties
- space-group type = P4mm (99)
- total magnetic moment (Bohr magnetons per cell) = 0.00
- ΔE_f (eV per atom) = 0.0827
- theoretical density (Mg/m³) = 4.4
- relative energy among the computed polymorphs (eV/atom) = 0.149